(1)
First-principles (GGA-PBE) data for crystalline Li2InSb2 at its relaxed geometry, as listed in Alexandria via LeMat-Bulk.

Values from the calculation:
energy above the most stable polymorph in this dataset = 44 meV per atom
formation energy from raw total energies = -0.27 eV per atom

a = 4.5747 Å, b = 6.9931 Å, c = 10.2643 Å
α = 121.03°, β = 103.27°, γ = 90.04°
With the nearest neighbours (Å) after each atom.
Fractional coordinates of all 10 atoms:
Sb 0.1313 0.6880 0.7708  4 Li 2.94-3.00, 3 In 3.05-3.13, 1 Sb 3.20
Sb 0.8687 0.3120 0.2292  4 Li 2.94-3.00, 3 In 3.05-3.13, 1 Sb 3.20
Sb 0.1328 0.2318 0.7727  5 Li 2.84-2.95, 2 In 3.04-3.05
Sb 0.8672 0.7682 0.2273  5 Li 2.84-2.95, 2 In 3.04-3.05
In 0.3173 0.9574 0.1306  5 Sb 3.04-3.13, 1 Li 3.40
In 0.6827 0.0426 0.8694  5 Sb 3.04-3.13, 1 Li 3.40
Li 0.9948 0.2238 0.4855  4 Sb 2.84-2.98
Li 0.0052 0.7762 0.5145  4 Sb 2.84-2.98
Li 0.6948 0.5458 0.8937  5 Sb 2.84-3.00
Li 0.3052 0.4542 0.1063  5 Sb 2.84-3.00


(2)
First-principles (GGA-PBE) data for crystalline LiFeOs2 at its relaxed geometry, as listed in Alexandria via LeMat-Bulk.

Values from the calculation:
formation energy from the elements = 231.1 meV/atom
energy above the most stable polymorph in this dataset = 64 meV per atom

a = 4.2022 Å, b = 4.2022 Å, c = 4.2022 Å
α = 60.00°, β = 60.00°, γ = 60.00°
With the nearest neighbours (Å) after each atom.
Fractional coordinates of all 4 atoms:
Os 0.0000 0.0000 0.0000  4 Os 2.57, 4 Li 2.57
Os 0.2500 0.2500 0.2500  4 Os 2.57, 4 Fe 2.57
Fe 0.5000 0.5000 0.5000  4 Li 2.57, 4 Os 2.57
Li 0.7500 0.7500 0.7500  4 Fe 2.57, 4 Os 2.57


(3)
First-principles (GGA-PBE) data for crystalline NaSm2Pb3S6 at its relaxed geometry, as listed in Alexandria via LeMat-Bulk.

Values from the calculation:
formation energy from raw total energies = -1.15 eV per atom

a = 4.0155 Å, b = 8.9241 Å, c = 9.3030 Å
α = 104.87°, β = 102.46°, γ = 90.00°
With the nearest neighbours (Å) after each atom.
Fractional coordinates of all 12 atoms:
Sm 0.1634 0.3288 0.3268  6 S 2.75-2.90
Sm 0.8366 0.6712 0.6732  6 S 2.75-2.90
S 0.0065 0.2555 0.0131  1 Sm 2.75, 3 Pb 2.92-2.99, 2 Na 3.02
S 0.6717 0.5551 0.3435  3 Sm 2.82-2.90, 1 Pb 3.03
S 0.6696 0.1151 0.3393  2 Sm 2.79, 1 Na 2.98, 1 Pb 3.01
S 0.3283 0.4449 0.6565  3 Sm 2.82-2.90, 1 Pb 3.03
S 0.9935 0.7445 0.9869  1 Sm 2.75, 3 Pb 2.92-2.99, 2 Na 3.02
S 0.3304 0.8849 0.6607  2 Sm 2.79, 1 Na 2.98, 1 Pb 3.01
Pb 0.1602 0.8382 0.3204  4 S 2.92-3.15
Pb 0.8398 0.1618 0.6796  4 S 2.92-3.15
Pb 0.5000 0.5000 0.0000  6 S 2.99-3.03
Na 0.5000 0.0000 0.0000  6 S 2.98-3.02


(4)
First-principles (GGA-PBE) data for crystalline Sr3YPb at its relaxed geometry, as listed in Alexandria via LeMat-Bulk.

Values from the calculation:
formation energy from the elements = 208.2 meV/atom
energy above the most stable polymorph in this dataset = 0 meV per atom

a = 6.3606 Å, b = 6.3606 Å, c = 6.3606 Å
α = 90.00°, β = 90.00°, γ = 90.00°
With the nearest neighbours (Å) after each atom.
Fractional coordinates of all 5 atoms:
Sr 0.5000 0.0000 0.0000  2 Pb 3.18
Sr 0.0000 0.0000 0.5000  2 Pb 3.18
Sr 0.0000 0.5000 0.0000  2 Pb 3.18
Pb 0.0000 0.0000 0.0000  6 Sr 3.18
Y 0.5000 0.5000 0.5000  12 Sr 4.50


(5)
First-principles (GGA-PBE) data for crystalline LaTa2TiCo at its relaxed geometry, as listed in Alexandria via LeMat-Bulk.

Values from the calculation:
formation energy from the elements = 1931.6 meV/atom

a = 5.0019 Å, b = 4.3732 Å, c = 5.0019 Å
α = 90.00°, β = 90.00°, γ = 90.00°
With the nearest neighbours (Å) after each atom.
Fractional coordinates of all 5 atoms:
Ta 0.0000 0.0000 0.5000  2 La 2.50
Ta 0.5000 0.0000 0.0000  2 La 2.50
La 0.0000 0.0000 0.0000  2 Co 2.19
Co 0.0000 0.5000 0.0000  2 La 2.19
Ti 0.5000 0.5000 0.5000  8 Ta 3.32, 4 Co 3.54


Number 1: calculated density 4.560 Mg/m³. Number 2: calculated density 14.027 Mg/m³. Number 3: calculated density 6.015 Mg/m³. Number 4: calculated density 3.607 Mg/m³. Number 5: calculated density 9.221 Mg/m³.